[1]
Entry from the Alexandria database: a relaxed LiHoU2S5 crystal (GGA-PBE).

Unit cell a=4.944 b=4.944 c=9.487 alpha=90.00 beta=90.00 gamma=90.00
Site moments in Bohr magnetons follow the coordinates.
Fractional positions:
Li (0.000, 0.000, 0.000)  0.00
S (0.000, 0.500, 0.500)  -0.03
S (0.500, 0.500, 0.000)  -0.08
U (0.500, 0.500, 0.286)  2.87
S (0.000, 0.000, 0.228)  -0.03
U (0.500, 0.500, 0.714)  2.87
S (0.500, 0.000, 0.500)  -0.03
S (0.000, 0.000, 0.772)  -0.03
Ho (0.000, 0.000, 0.500)  0.03

Summary:
Calculated volume: 231.9 Å³/f.u.
Crystal system: tetragonal
Symmetry: P4/mmm, No. 123
VASP energy: -0.2405 Ha/atom


[2]
Entry from the Alexandria database: a relaxed Li3HoU3S8 crystal (GGA-PBE).

Unit cell a=7.818 b=7.816 c=7.668 alpha=120.67 beta=90.00 gamma=120.01
Site moments in Bohr magnetons follow the coordinates.
Fractional positions:
S (0.751, 0.999, 0.747)  -0.05
S (0.248, 0.496, 0.244)  -0.06
S (0.752, 0.504, 0.253)  -0.05
S (0.249, 0.001, 0.253)  -0.05
U (0.500, 0.000, 0.500)  2.44
S (0.248, 0.999, 0.747)  -0.05
Li (0.500, 0.500, 0.000)  0.00
Li (0.000, 0.000, 0.000)  0.00
S (0.752, 0.504, 0.756)  -0.06
Li (0.000, 0.500, 0.000)  0.00
S (0.752, 0.001, 0.253)  -0.05
U (0.000, 0.500, 0.500)  2.44
S (0.248, 0.496, 0.747)  -0.05
U (0.500, 0.500, 0.500)  2.44
Ho (0.000, 0.000, 0.500)  0.10

Summary:
Calculated volume: 327.9 Å³/f.u.
Crystal system: trigonal
Symmetry: R-3m, No. 166
VASP energy: -0.2436 Ha/atom


[3]
Entry from the Alexandria database: a relaxed LiHoU2S6 crystal (GGA-PBE).

Unit cell a=6.592 b=6.174 c=6.174 alpha=90.00 beta=90.00 gamma=90.00
Site moments in Bohr magnetons follow the coordinates.
Fractional positions:
S (0.175, 0.000, 0.000)  -0.06
S (0.754, 0.241, 0.759)  -0.08
Li (0.541, 0.000, 0.000)  0.00
U (0.990, 0.000, 0.500)  2.17
U (0.990, 0.500, 0.000)  2.17
S (0.754, 0.759, 0.241)  -0.08
S (0.754, 0.241, 0.241)  -0.08
S (0.168, 0.500, 0.500)  -0.04
S (0.754, 0.759, 0.759)  -0.08
Ho (0.569, 0.500, 0.500)  -0.03

Summary:
Calculated volume: 251.3 Å³/f.u.
Crystal system: tetragonal
Symmetry: P4mm, No. 99
VASP energy: -0.2403 Ha/atom


[4]
Entry from the Alexandria database: a relaxed Li3Ho4US8 crystal (GGA-PBE).

Unit cell a=7.735 b=7.698 c=7.735 alpha=120.16 beta=120.00 gamma=90.00
Site moments in Bohr magnetons follow the coordinates.
Fractional positions:
S (0.250, 0.251, 0.501)  0.00
U (0.000, 0.500, 0.000)  2.36
Ho (0.000, 0.000, 0.000)  0.06
Ho (0.000, 0.000, 0.500)  0.06
S (0.745, 0.746, 0.995)  -0.02
S (0.251, 0.746, 0.501)  -0.02
Li (0.500, 0.500, 0.000)  0.00
S (0.749, 0.254, 0.005)  -0.02
Li (0.500, 0.500, 0.500)  0.00
Li (0.000, 0.500, 0.500)  0.00
Ho (0.500, 0.000, 0.000)  0.02
S (0.750, 0.749, 0.499)  0.00
S (0.251, 0.746, 0.995)  -0.02
Ho (0.500, 0.000, 0.500)  0.06
S (0.255, 0.254, 0.005)  -0.02
S (0.749, 0.254, 0.499)  -0.02

Summary:
Calculated volume: 324.9 Å³/f.u.
Crystal system: trigonal
Symmetry: R-3m, No. 166
VASP energy: -0.2222 Ha/atom